VASP calculation (PBE) on crystalline HfTi2Tl3S6 at its relaxed geometry.

Unit cell a=6.0658 b=6.0658 c=8.6898 alpha=96.64 beta=96.64 gamma=119.99
Closest atoms and distances in Å follow each position.
Sites, in units of the cell vectors:
1 Hf 0.0000 0.0000 0.0000  6 S 2.54
2 Ti 0.3334 0.6666 0.0000  6 S 2.47
3 Ti 0.6666 0.3334 0.0000  6 S 2.47
4 Tl 0.1665 0.8335 0.5000  6 S 3.40-3.45, 6 Tl 3.50
5 Tl 0.5000 0.5000 0.5000  6 S 3.39-3.45, 6 Tl 3.50
6 Tl 0.8335 0.1665 0.5000  6 S 3.40-3.45, 6 Tl 3.50
7 S 0.0573 0.4000 0.1725  2 Ti 2.47, 1 Hf 2.54
8 S 0.2856 0.2856 0.8276  2 Ti 2.47, 1 Hf 2.54
9 S 0.4000 0.0573 0.1725  2 Ti 2.47, 1 Hf 2.54
10 S 0.6000 0.9427 0.8275  2 Ti 2.47, 1 Hf 2.54
11 S 0.7144 0.7144 0.1724  2 Ti 2.47, 1 Hf 2.54
12 S 0.9427 0.6000 0.8275  2 Ti 2.47, 1 Hf 2.54

Computed properties:
Symmetry: No. 12
V in Å³/cell: 269
Total DFT energy (no corrections) in eV/atom: -5.86
DOS at the Fermi energy in states/eV per cell: 8.141